## CsTlN2F (PBE)

Data for an optimized crystal structure of CsTlN2F.

For the uncorrected formation energy, the calculation gives 1250 meV/atom. As for the volume: 136.7 Å³/cell. As for the density: 4668 kg/m3.

The structure belongs to space group P4/mmm (No. 123); the cell edges are 5.0307, 5.0307 and 5.4017 Å and the angles 90.00°, 90.00° and 90.00°. The distinct sites, in fractional coordinates, are Cs at (0.0000, 0.0000, 0.0000), Tl at (0.5000, 0.5000, 0.5000), N at (0.0000, 0.5000, 0.0000) and F at (0.0000, 0.0000, 0.5000).